# 1
A relaxed structure of ZnNiHg2, computed with GGA-PBEsol.

## Properties
The density is 13.290 g cm⁻³. The calculation puts the formation energy from the elements at 218 meV/atom. The calculation puts the final energy at -0.074 hartree per atom.

a = 6.4031 Å, b = 6.4031 Å, c = 6.4031 Å
α = 90.00°, β = 90.00°, γ = 90.00°
With the nearest neighbours (Å) after each atom.
Space group F-43m (No. 216)
Asymmetric unit:
Zn 0.0000 0.0000 0.0000 [4 per cell]  4 Ni 2.77, 4 Hg 2.77
Ni 0.2500 0.2500 0.2500 [4 per cell]  4 Hg 2.77, 4 Zn 2.77
Hg 0.0000 0.0000 0.5000 [4 per cell]  4 Hg 2.77, 4 Ni 2.77
Hg 0.2500 0.2500 0.7500 [4 per cell]  4 Hg 2.77, 4 Zn 2.77

# 2
A relaxed structure of AlTlPt2, computed with GGA-PBEsol.

## Properties
The density is 15.382 g cm⁻³. The calculation puts the formation energy from the elements at -318 meV/atom. The calculation puts the final energy at -0.201 hartree per atom.

a = 9.3684 Å, b = 3.4293 Å, c = 4.3799 Å
α = 90.00°, β = 107.51°, γ = 90.00°
With the nearest neighbours (Å) after each atom.
Space group Cm (No. 8)
Asymmetric unit:
Al 0.0000 0.0000 0.0000 [2 per cell]  7 Pt 2.61-2.91
Tl 0.2577 0.5000 0.3659 [2 per cell]  7 Pt 2.67-2.83
Pt 0.0079 0.5000 0.5404 [2 per cell]  4 Al 2.66-2.91, 3 Tl 2.67-2.82, 1 Pt 2.98
Pt 0.2808 0.0000 0.8928 [2 per cell]  3 Al 2.61-2.81, 4 Tl 2.75-2.83

# 3
A relaxed structure of YMnSi2, computed with GGA-PBEsol.

## Properties
The density is 5.597 g cm⁻³. The calculation puts the final energy at -0.273 hartree per atom.

a = 2.9665 Å, b = 2.9665 Å, c = 6.7435 Å
α = 90.00°, β = 90.00°, γ = 90.00°
With the nearest neighbours (Å) after each atom.
Space group P4/mmm (No. 123)
Asymmetric unit:
Y 0.0000 0.0000 0.0000 [1 per cell]  4 Y 2.97, 8 Si 2.99
Mn 0.0000 0.0000 0.5000 [1 per cell]  8 Si 2.44
Si 0.5000 0.5000 0.3152 [2 per cell]  4 Mn 2.44, 1 Si 2.49

# 4
A relaxed structure of Tl2InAu, computed with GGA-PBEsol.

## Properties
The density is 12.207 g cm⁻³. The calculation puts the formation energy from the elements at -40 meV/atom. The calculation puts the final energy at -0.113 hartree per atom.

a = 4.6311 Å, b = 4.8754 Å, c = 8.6823 Å
α = 90.00°, β = 90.00°, γ = 90.00°
With the nearest neighbours (Å) after each atom.
Space group Cmm2 (No. 35)
Asymmetric unit:
Tl 0.0000 0.0000 0.0000 [2 per cell]  4 Au 3.06-3.15, 4 Tl 3.36
Tl 0.0000 0.5000 0.3048 [2 per cell]  4 In 3.35-3.43, 8 Tl 3.36-3.60
In 0.0000 0.0000 0.5831 [2 per cell]  4 Au 2.83-2.93
Au 0.0000 0.5000 0.7700 [2 per cell]  4 In 2.83-2.93, 4 Tl 3.06-3.15

# 5
A relaxed structure of Li17Cd12, computed with GGA-PBEsol.

## Properties
The density is 4.430 g cm⁻³. The calculation puts the formation energy from the elements at -194 meV/atom. The calculation puts the final energy at -0.068 hartree per atom.

a = 10.3221 Å, b = 10.3221 Å, c = 10.3221 Å
α = 90.00°, β = 90.00°, γ = 90.00°
With the nearest neighbours (Å) after each atom.
Space group I-43m (No. 217)
Asymmetric unit:
Li 0.0000 0.0000 0.0000 [2 per cell]  4 Li 3.19, 12 Cd 3.31
Li 0.0516 0.3632 0.6368 [24 per cell]  5 Cd 2.76-2.93, 3 Li 2.85-3.02
Li 0.1784 0.1784 0.1784 [8 per cell]  4 Li 2.85-3.19, 6 Cd 3.17
Cd 0.0955 0.0955 0.7089 [24 per cell]  5 Li 2.76-2.93, 3 Cd 2.79-2.86

# 6
A relaxed structure of FeAs3, computed with GGA-PBEsol.

## Properties
The density is 7.242 g cm⁻³. The calculation puts the formation energy from the elements at 110 meV/atom. The calculation puts the final energy at -0.219 hartree per atom.

a = 2.9737 Å, b = 2.9737 Å, c = 25.2057 Å
α = 90.00°, β = 90.00°, γ = 120.00°
With the nearest neighbours (Å) after each atom.
Space group R-3m (No. 166, hexagonal axes)
Asymmetric unit:
Fe 0.0000 0.0000 0.0000 [3 per cell]  6 As 2.40
As 0.0000 0.0000 0.2670 [6 per cell]  3 Fe 2.40
As 0.0000 0.0000 0.5000 [3 per cell]  12 As 2.97-3.06

# 7
A relaxed structure of AlZn, computed with GGA-PBEsol.

## Properties
The density is 5.010 g cm⁻³. The calculation puts the formation energy from the elements at 29 meV/atom. The calculation puts the final energy at -0.103 hartree per atom.

a = 3.9198 Å, b = 3.9198 Å, c = 7.9717 Å
α = 90.00°, β = 90.00°, γ = 90.00°
With the nearest neighbours (Å) after each atom.
Space group I4_1/amd (No. 141, origin choice 2)
Asymmetric unit:
Al 0.0000 0.2500 0.3750 [4 per cell]  8 Zn 2.77-2.80, 4 Al 2.80
Zn 0.0000 0.2500 0.8750 [4 per cell]  8 Al 2.77-2.80, 4 Zn 2.80

# 8
A relaxed structure of HfAl2CdS, computed with GGA-PBEsol.

## Properties
The density is 4.590 g cm⁻³. The calculation puts the final energy at -0.164 hartree per atom.

a = 5.3632 Å, b = 5.3632 Å, c = 4.7406 Å
α = 90.00°, β = 90.00°, γ = 90.00°
With the nearest neighbours (Å) after each atom.
Space group P4/mmm (No. 123)
Asymmetric unit:
Hf 0.0000 0.0000 0.0000 [1 per cell]  2 S 2.37
Al 0.0000 0.5000 0.0000 [2 per cell]  2 Hf 2.68
Cd 0.5000 0.5000 0.5000 [1 per cell]  8 Al 3.58, 4 S 3.79
S 0.0000 0.0000 0.5000 [1 per cell]  2 Hf 2.37